VASP calculation (GGA-PBEsol) on crystalline BiSN2O at its relaxed geometry.

```
5
Lattice="4.0400 0.0000 0.0000 0.0000 4.0400 0.0000 0.0000 0.0000 3.7579" Properties=species:S:1:pos:R:3 pbc="T T T"
Bi 0.0000 0.0000 0.0000
S 2.0200 2.0200 0.0000
N 0.0000 2.0200 1.8790
N 2.0200 0.0000 1.8790
O 2.0200 2.0200 1.8790
```

Results
size of the total moment: 0.001 μB per formula unit
final energy: -4.651 eV/atom
uncorrected formation energy: 1.543 eV per atom

VASP calculation (GGA-PBEsol) on crystalline Ce2HgPb at its relaxed geometry.

```
16
Lattice="7.5968 0.0000 0.0000 0.0000 7.5968 0.0000 0.0000 0.0000 7.5968" Properties=species:S:1:pos:R:3 pbc="T T T"
Ce 1.8992 1.8992 1.8992
Ce 1.8992 1.8992 5.6976
Ce 1.8992 5.6976 1.8992
Ce 1.8992 5.6976 5.6976
Ce 5.6976 1.8992 1.8992
Ce 5.6976 1.8992 5.6976
Ce 5.6976 5.6976 1.8992
Ce 5.6976 5.6976 5.6976
Hg 0.0000 0.0000 0.0000
Hg 0.0000 3.7984 3.7984
Hg 3.7984 0.0000 3.7984
Hg 3.7984 3.7984 0.0000
Pb 0.0000 0.0000 3.7984
Pb 0.0000 3.7984 0.0000
Pb 3.7984 0.0000 0.0000
Pb 3.7984 3.7984 3.7984
```

Results
size of the total moment: 2.262 μB per formula unit
formation energy: -292 meV per atom
final energy: -4.731 eV/atom

- The highest final energy belongs to which entry?
  BiSN2O